Entry from Alexandria via LeMat-Bulk: a crystal of Hg2MoAu relaxed with PBEsol (SCAN).

Lattice parameters (Å, degrees): 4.2052 4.2052 4.0815 90.00 90.00 90.00
With the nearest neighbours (Å) after each atom.
Atoms (fractional coordinates):
Hg 0.0000 0.5000 0.0000  4 Mo 2.93, 4 Au 2.93, 4 Hg 2.97
Hg 0.5000 0.0000 0.0000  4 Mo 2.93, 4 Au 2.93, 4 Hg 2.97
Mo 0.0000 0.0000 0.5000  8 Hg 2.93, 4 Au 2.97
Au 0.5000 0.5000 0.5000  8 Hg 2.93, 4 Mo 2.97

Values from the calculation:
Space-group type: No. 123
DFT formation energy, eV/atom: 0.489
Density of states at the Fermi level, states/eV/f.u.: 2.2